one) DFT (GGA-PBE) results for crystalline Co2TcAg at its relaxed geometry.

* DOS at the Fermi energy: 3.13 states/eV/f.u.
* total magnetic moment: 9.24 μB per cell

abc: 5.9750 5.9750 5.9750
angles: 90.00 90.00 90.00
With the nearest neighbours (Å) after each atom.
Space group Fm-3m (No. 225)
Symmetry-distinct sites (fractional):
Co: 0.2500 0.2500 0.2500 (multiplicity 8)  4 Tc 2.59, 4 Ag 2.59
Tc: 0.0000 0.0000 0.0000 (multiplicity 4)  8 Co 2.59
Ag: 0.0000 0.0000 0.5000 (multiplicity 4)  8 Co 2.59

two) DFT (GGA-PBE) results for crystalline Co2TcAg at its relaxed geometry.

* DOS at the Fermi energy: 6.44 states/eV/f.u.
* total magnetic moment: 7.10 μB per cell

abc: 5.5552 7.3822 2.6377
angles: 90.00 90.00 90.00
With the nearest neighbours (Å) after each atom.
Space group Cmmm (No. 65)
Symmetry-distinct sites (fractional):
Co: 0.2500 0.2500 0.0000 (multiplicity 4)  4 Co 2.64-2.78, 4 Tc 2.66, 4 Ag 2.66
Tc: 0.0000 0.0000 0.5000 (multiplicity 2)  2 Tc 2.64, 8 Co 2.66, 2 Ag 2.78
Ag: 0.0000 0.5000 0.5000 (multiplicity 2)  2 Ag 2.64, 8 Co 2.66, 2 Tc 2.78

three) DFT (GGA-PBE) results for crystalline Co2TcAg at its relaxed geometry.

* DOS at the Fermi energy: 2.15 states/eV/f.u.
* total magnetic moment: 0.00 μB per cell

abc: 6.6154 6.6154 5.3804
angles: 90.00 90.00 90.00
With the nearest neighbours (Å) after each atom.
Space group I-42d (No. 122)
Symmetry-distinct sites (fractional):
Co: 0.2105 0.2500 0.1250 (multiplicity 8)  2 Tc 2.26
Tc: 0.0000 0.0000 0.0000 (multiplicity 4)  4 Co 2.26
Ag: 0.0000 0.0000 0.5000 (multiplicity 4)  4 Co 2.62, 2 Tc 2.69

According to the calculations, the structures order from most to least stable as two), one), three).

one) DFT (GGA-PBE) results for crystalline Co2TcAg at its relaxed geometry.

* DOS at the Fermi energy: 5.19 states/eV/f.u.
* total magnetic moment: 3.86 μB per cell

abc: 4.4753 4.4753 2.7220
angles: 90.00 90.00 90.00
With the nearest neighbours (Å) after each atom.
Space group P4/mmm (No. 123)
Symmetry-distinct sites (fractional):
Co: 0.0000 0.5000 0.0000 (multiplicity 2)  4 Tc 2.62, 4 Ag 2.62, 2 Co 2.72
Tc: 0.0000 0.0000 0.5000 (multiplicity 1)  8 Co 2.62, 2 Tc 2.72
Ag: 0.5000 0.5000 0.5000 (multiplicity 1)  8 Co 2.62, 2 Ag 2.72

two) DFT (GGA-PBE) results for crystalline Co2TcAg at its relaxed geometry.

* DOS at the Fermi energy: 4.04 states/eV/f.u.
* total magnetic moment: 3.08 μB per cell

abc: 2.6371 2.6371 7.7665
angles: 90.00 90.00 90.00
With the nearest neighbours (Å) after each atom.
Space group P4mm (No. 99)
Symmetry-distinct sites (fractional):
Co: 0.0000 0.0000 0.0000 (multiplicity 1)  8 Co 2.44-2.64
Co: 0.5000 0.5000 0.2016 (multiplicity 1)  8 Co 2.44-2.64, 4 Tc 2.61
Tc: 0.0000 0.0000 0.4364 (multiplicity 1)  4 Co 2.61, 4 Tc 2.64
Ag: 0.5000 0.5000 0.7316 (multiplicity 1)  4 Ag 2.64, 4 Co 2.80

three) DFT (GGA-PBE) results for crystalline Co2TcAg at its relaxed geometry.

* DOS at the Fermi energy: 6.98 states/eV/f.u.
* total magnetic moment: 6.60 μB per cell

abc: 2.7550 4.6250 8.7536
angles: 90.00 90.00 90.00
With the nearest neighbours (Å) after each atom.
Space group Immm (No. 71)
Symmetry-distinct sites (fractional):
Co: 0.0000 0.0000 0.2357 (multiplicity 4)  2 Tc 2.48, 2 Ag 2.69, 6 Co 2.70-2.76
Tc: 0.0000 0.5000 0.5000 (multiplicity 2)  4 Co 2.48, 4 Ag 2.69, 2 Tc 2.76
Ag: 0.0000 0.5000 0.0000 (multiplicity 2)  4 Tc 2.69, 4 Co 2.69, 2 Ag 2.76

four) DFT (GGA-PBE) results for crystalline Co2TcAg at its relaxed geometry.

* DOS at the Fermi energy: 4.51 states/eV/f.u.
* total magnetic moment: 4.24 μB per cell

abc: 2.6716 4.4956 4.6674
angles: 90.00 90.00 90.00
With the nearest neighbours (Å) after each atom.
Space group Pmmm (No. 47)
Symmetry-distinct sites (fractional):
Co: 0.0000 0.0000 0.0000 (multiplicity 1)  4 Ag 2.61, 6 Co 2.67-2.69
Co: 0.5000 0.0000 0.5000 (multiplicity 1)  4 Tc 2.61, 6 Co 2.67-2.69
Tc: 0.0000 0.5000 0.5000 (multiplicity 1)  4 Co 2.61, 2 Tc 2.67, 4 Ag 2.69
Ag: 0.5000 0.5000 0.0000 (multiplicity 1)  4 Co 2.61, 2 Ag 2.67, 4 Tc 2.69

According to the calculations, the structures order from most to least stable as two), one), three), four).

one) DFT (GGA-PBE) results for crystalline Co3AgTe at its relaxed geometry.

* DOS at the Fermi energy: 15.71 states/eV/f.u.
* total magnetic moment: 5.79 μB per cell

abc: 4.6695 4.6695 4.6695
angles: 90.00 90.00 90.00
With the nearest neighbours (Å) after each atom.
Space group Pm-3m (No. 221)
Symmetry-distinct sites (fractional):
Co: 0.0000 0.0000 0.5000 (multiplicity 3)  2 Ag 2.33
Ag: 0.0000 0.0000 0.0000 (multiplicity 1)  6 Co 2.33
Te: 0.5000 0.5000 0.5000 (multiplicity 1)  12 Co 3.30

two) DFT (GGA-PBE) results for crystalline Co3AgTe at its relaxed geometry.

* DOS at the Fermi energy: 9.89 states/eV/f.u.
* total magnetic moment: 4.01 μB per cell

abc: 4.6507 4.6507 4.6507
angles: 90.00 90.00 90.00
With the nearest neighbours (Å) after each atom.
Space group Pm-3m (No. 221)
Symmetry-distinct sites (fractional):
Co: 0.0000 0.0000 0.5000 (multiplicity 3)  2 Te 2.33
Ag: 0.5000 0.5000 0.5000 (multiplicity 1)  12 Co 3.29
Te: 0.0000 0.0000 0.0000 (multiplicity 1)  6 Co 2.33

According to the calculations, the structures order from most to least stable as two), one).

one) DFT (GGA-PBE) results for crystalline Tl2CoAg at its relaxed geometry.

* DOS at the Fermi energy: 3.57 states/eV/f.u.
* total magnetic moment: 5.25 μB per cell

abc: 7.6412 7.6412 6.0445
angles: 90.00 90.00 90.00
With the nearest neighbours (Å) after each atom.
Space group I-42d (No. 122)
Symmetry-distinct sites (fractional):
Tl: 0.2167 0.2500 0.1250 (multiplicity 8)  2 Co 2.64
Co: 0.0000 0.0000 0.0000 (multiplicity 4)  4 Tl 2.64
Ag: 0.0000 0.0000 0.5000 (multiplicity 4)  4 Tl 2.98, 2 Co 3.02

two) DFT (GGA-PBE) results for crystalline Tl2CoAg at its relaxed geometry.

* DOS at the Fermi energy: 4.53 states/eV/f.u.
* total magnetic moment: 3.84 μB per cell

abc: 3.2520 3.2520 27.8873
angles: 90.00 90.00 120.00
With the nearest neighbours (Å) after each atom.
Space group R3m (No. 160, hexagonal axes)
Symmetry-distinct sites (fractional):
Tl: 0.0000 0.0000 0.0000 (multiplicity 3)  3 Ag 3.14, 9 Tl 3.25-3.42
Tl: 0.0000 0.0000 0.2310 (multiplicity 3)  3 Co 2.76
Co: 0.0000 0.0000 0.4918 (multiplicity 3)  3 Ag 2.68, 3 Tl 2.76
Ag: 0.0000 0.0000 0.7568 (multiplicity 3)  3 Co 2.68

three) DFT (GGA-PBE) results for crystalline Tl2CoAg at its relaxed geometry.

* DOS at the Fermi energy: 4.41 states/eV/f.u.
* total magnetic moment: 3.08 μB per cell

abc: 6.4315 8.8548 3.1884
angles: 90.00 112.55 90.00
With the nearest neighbours (Å) after each atom.
Space group C2/m (No. 12)
Symmetry-distinct sites (fractional):
Tl: 0.2500 0.2500 0.0000 (multiplicity 4)  2 Co 2.84, 2 Ag 2.84
Co: 0.0000 0.0000 0.5000 (multiplicity 2)  4 Tl 2.84
Ag: 0.0000 0.5000 0.5000 (multiplicity 2)  4 Tl 2.84

According to the calculations, the structures order from most to least stable as two), three), one).

one) DFT (GGA-PBE) results for crystalline Tl2CoAg at its relaxed geometry.

* DOS at the Fermi energy: 3.00 states/eV/f.u.
* total magnetic moment: 2.44 μB per cell

abc: 3.3131 5.4839 9.1498
angles: 90.00 90.00 90.00
With the nearest neighbours (Å) after each atom.
Space group Immm (No. 71)
Symmetry-distinct sites (fractional):
Tl: 0.0000 0.0000 0.2269 (multiplicity 4)  2 Co 2.66
Co: 0.0000 0.5000 0.5000 (multiplicity 2)  4 Tl 2.66
Ag: 0.0000 0.5000 0.0000 (multiplicity 2)  4 Tl 3.00, 4 Co 3.20, 2 Ag 3.31

two) DFT (GGA-PBE) results for crystalline Tl2CoAg at its relaxed geometry.

* DOS at the Fermi energy: 3.14 states/eV/f.u.
* total magnetic moment: 1.02 μB per cell

abc: 3.2343 3.1996 7.6531
angles: 90.00 91.47 90.00
With the nearest neighbours (Å) after each atom.
Space group P2/m (No. 10)
Symmetry-distinct sites (fractional):
Tl: 0.0055 0.0000 0.2168 (multiplicity 2)  4 Co 2.80-2.83, 2 Ag 3.10
Co: 0.5000 0.5000 0.0000 (multiplicity 1)  8 Tl 2.80-2.83
Ag: 0.5000 0.5000 0.5000 (multiplicity 1)  8 Tl 3.10-3.18, 4 Ag 3.20-3.23

three) DFT (GGA-PBE) results for crystalline Tl2CoAg at its relaxed geometry.

* DOS at the Fermi energy: 3.58 states/eV/f.u.
* total magnetic moment: 4.14 μB per cell

abc: 6.8286 6.8286 6.8286
angles: 90.00 90.00 90.00
With the nearest neighbours (Å) after each atom.
Space group Fm-3m (No. 225)
Symmetry-distinct sites (fractional):
Tl: 0.2500 0.2500 0.2500 (multiplicity 8)  4 Co 2.96, 4 Ag 2.96
Co: 0.0000 0.0000 0.0000 (multiplicity 4)  8 Tl 2.96
Ag: 0.0000 0.0000 0.5000 (multiplicity 4)  8 Tl 2.96

four) DFT (GGA-PBE) results for crystalline Tl2CoAg at its relaxed geometry.

* DOS at the Fermi energy: 3.54 states/eV/f.u.
* total magnetic moment: 1.46 μB per cell

abc: 3.2965 4.5926 5.5796
angles: 90.00 90.00 90.00
With the nearest neighbours (Å) after each atom.
Space group Pmmm (No. 47)
Symmetry-distinct sites (fractional):
Tl: 0.0000 0.0000 0.0000 (multiplicity 1)  4 Ag 2.83
Tl: 0.5000 0.0000 0.5000 (multiplicity 1)  4 Co 2.83
Co: 0.0000 0.5000 0.5000 (multiplicity 1)  4 Tl 2.83
Ag: 0.5000 0.5000 0.0000 (multiplicity 1)  4 Tl 2.83

According to the calculations, the structures order from most to least stable as two), three), one), four).